Version P
Below is a relaxed structure of VZnCo, with properties calculated at the PBE level.

```
VZnCo
1.0
4.094 0.000 0.000
-2.047 3.546 0.000
0.000 0.000 2.556
V Zn Co
1 1 1
Cartesian
0.000 0.000 0.000
0.000 2.364 1.459
2.047 1.182 0.606
```

Total moment, μB/f.u.: 0.0

Version Q
Below is a relaxed structure of VZnCo, with properties calculated at the PBE level.

```
VZnCo
1.0
2.907 0.000 0.000
0.000 2.907 0.000
0.000 0.000 8.905
V Zn Co
2 2 2
Cartesian
0.727 0.727 0.795
2.180 2.180 8.110
0.727 0.727 3.615
2.180 2.180 5.290
0.727 0.727 6.812
2.180 2.180 2.094
```

Total moment, μB/f.u.: 0.3

Ranking the structures above by energy, version Q is first and the second is 12.3 kJ/mol of atoms behind.